# 1
A crystal of AsPBr2F relaxed with PBEsol. Source: the Alexandria database, functional meta-GGA SCAN.

Lattice parameters (Å, degrees): 4.832 4.832 4.880 90.00 90.00 90.00
Fractional positions:
As 0.000 0.000 0.000
P 0.000 0.000 0.500
Br 0.000 0.500 0.500
Br 0.500 0.000 0.500
F 0.500 0.500 0.000

Output
For the energy above the lowest structure with this stoichiometry, the calculation gives 0 meV/atom. The volume comes out at 22.79 A^3/atom. The calculation puts the uncorrected energy at -14.293 eV per atom. Its total moment is 1.06 μB/cell.

# 2
A crystal of AsPBr2F relaxed with PBEsol. Source: the Alexandria database, functional meta-GGA SCAN.

Lattice parameters (Å, degrees): 5.327 5.327 3.797 90.00 90.00 90.00
Fractional positions:
As 0.000 0.000 0.000
P 0.500 0.500 0.000
Br 0.000 0.500 0.500
Br 0.500 0.000 0.500
F 0.000 0.000 0.500

Output
For the energy above the lowest structure with this stoichiometry, the calculation gives 243 meV/atom. The volume comes out at 21.55 A^3/atom. The calculation puts the uncorrected energy at -14.050 eV per atom. Its total moment is 0.00 μB/cell.

# 3
A crystal of AsPdBr2F relaxed with PBEsol. Source: the Alexandria database, functional meta-GGA SCAN.

Lattice parameters (Å, degrees): 5.288 5.288 3.784 90.00 90.00 90.00
Fractional positions:
As 0.000 0.000 0.000
Pd 0.500 0.500 0.000
Br 0.000 0.500 0.500
Br 0.500 0.000 0.500
F 0.000 0.000 0.500

Output
The volume comes out at 21.16 A^3/atom. The calculation puts the uncorrected energy at -18.844 eV per atom. Its total moment is 0.63 μB/cell.

# 4
A crystal of As2PdBrF relaxed with PBEsol. Source: the Alexandria database, functional meta-GGA SCAN.

Lattice parameters (Å, degrees): 4.240 4.240 5.224 90.00 90.00 90.00
Fractional positions:
As 0.000 0.500 0.000
As 0.500 0.000 0.000
Pd 0.000 0.000 0.500
Br 0.500 0.500 0.500
F 0.500 0.500 0.000

Output
The volume comes out at 18.78 A^3/atom. The calculation puts the uncorrected energy at -18.801 eV per atom. Its total moment is 0.00 μB/cell.

# 5
A crystal of As2PtBrF relaxed with PBEsol. Source: the Alexandria database, functional meta-GGA SCAN.

Lattice parameters (Å, degrees): 4.233 4.233 5.090 90.00 90.00 90.00
Fractional positions:
As 0.000 0.500 0.000
As 0.500 0.000 0.000
Pt 0.000 0.000 0.500
Br 0.500 0.500 0.500
F 0.500 0.500 0.000

Output
The volume comes out at 18.24 A^3/atom. The calculation puts the uncorrected energy at -26.024 eV per atom. Its total moment is 0.00 μB/cell.

# 6
A crystal of As2RhBrF relaxed with PBEsol. Source: the Alexandria database, functional meta-GGA SCAN.

Lattice parameters (Å, degrees): 4.646 4.646 5.083 90.00 90.00 90.00
Fractional positions:
As 0.000 0.500 0.000
As 0.500 0.000 0.000
Rh 0.000 0.000 0.000
Br 0.000 0.000 0.500
F 0.500 0.500 0.500

Output
The volume comes out at 21.94 A^3/atom. The calculation puts the uncorrected energy at -19.284 eV per atom. Its total moment is 0.00 μB/cell.

# 7
A crystal of SbAsBr2F relaxed with PBEsol. Source: the Alexandria database, functional meta-GGA SCAN.

Lattice parameters (Å, degrees): 5.435 5.435 3.860 90.00 90.00 90.00
Fractional positions:
Sb 0.000 0.000 0.000
As 0.500 0.500 0.000
Br 0.000 0.500 0.500
Br 0.500 0.000 0.500
F 0.500 0.500 0.500

Output
The volume comes out at 22.81 A^3/atom. The calculation puts the uncorrected energy at -19.919 eV per atom. Its total moment is 0.00 μB/cell.

# 8
A crystal of TiAs2BrF relaxed with PBEsol. Source: the Alexandria database, functional meta-GGA SCAN.

Lattice parameters (Å, degrees): 4.811 4.811 4.838 90.00 90.00 90.00
Fractional positions:
Ti 0.000 0.000 0.000
As 0.000 0.500 0.000
As 0.500 0.000 0.000
Br 0.000 0.000 0.500
F 0.500 0.500 0.500

Output
The volume comes out at 22.39 A^3/atom. The calculation puts the uncorrected energy at -16.110 eV per atom. Its total moment is 0.00 μB/cell.

# 9
A crystal of FeAsBr2 relaxed with PBEsol. Source: the Alexandria database, functional meta-GGA SCAN.

Lattice parameters (Å, degrees): 4.842 4.842 3.266 90.00 90.00 90.00
Fractional positions:
Fe 0.000 0.000 0.000
As 0.500 0.500 0.000
Br 0.000 0.500 0.500
Br 0.500 0.000 0.500

Output
For the energy above the lowest structure with this stoichiometry, the calculation gives 757 meV/atom. The volume comes out at 19.14 A^3/atom. The calculation puts the uncorrected energy at -18.676 eV per atom. Its total moment is 3.38 μB/cell.

# 10
A crystal of FeAsBr2 relaxed with PBEsol. Source: the Alexandria database, functional meta-GGA SCAN.

Lattice parameters (Å, degrees): 3.421 3.421 8.002 90.00 90.00 90.00
Fractional positions:
Fe 0.000 0.000 0.000
As 0.500 0.500 0.924
Br 0.000 0.000 0.283
Br 0.500 0.500 0.631

Output
For the energy above the lowest structure with this stoichiometry, the calculation gives 0 meV/atom. The volume comes out at 23.41 A^3/atom. The calculation puts the uncorrected energy at -19.433 eV per atom. Its total moment is 3.55 μB/cell.

# 11
A crystal of FeAsBr2 relaxed with PBEsol. Source: the Alexandria database, functional meta-GGA SCAN.

Lattice parameters (Å, degrees): 7.326 7.326 3.978 98.05 98.05 25.65
Fractional positions:
Fe 0.000 0.000 0.000
As 0.500 0.500 0.500
Br 0.351 0.351 0.808
Br 0.649 0.649 0.192

Output
For the energy above the lowest structure with this stoichiometry, the calculation gives 109 meV/atom. The volume comes out at 22.87 A^3/atom. The calculation puts the uncorrected energy at -19.324 eV per atom. Its total moment is 2.74 μB/cell.

# 12
A crystal of FeAsBr relaxed with PBEsol. Source: the Alexandria database, functional meta-GGA SCAN.

Lattice parameters (Å, degrees): 6.458 6.455 2.995 76.65 76.52 26.83
Fractional positions:
Fe 0.000 0.000 0.000
As 0.618 0.618 0.382
Br 0.367 0.367 0.633

Output
The volume comes out at 18.24 A^3/atom. The calculation puts the uncorrected energy at -19.046 eV per atom. Its total moment is 2.37 μB/cell.